The following is a GGA-PBE calculation of crystalline La5Sb2H at its relaxed geometry, from Alexandria.

Calculated values
The calculation puts the density at 6.5 g cm⁻³. For the energy, the calculation gives -5.152 eV per atom.

a b c (Å): 7.277 7.277 9.069
angles (deg): 90.00 90.00 90.00
Space group I4mm (No. 107)
Asymmetric unit:
La  0.000  0.000  0.000
La  0.249  0.249  0.756
Sb  0.000  0.500  0.006
H  0.000  0.000  0.733

The following is a GGA-PBE calculation of crystalline Zn2ReSe at its relaxed geometry, from Alexandria.

Calculated values
The calculation puts the density at 10.5 g cm⁻³. As for the energy relative to the lowest polymorph listed for this composition: 0.435 eV per atom. The raw formation energy is 2.5 eV/f.u.

a b c (Å): 6.303 6.303 6.303
angles (deg): 90.00 90.00 90.00
Space group F-43m (No. 216)
Asymmetric unit:
Zn  0.000  0.000  0.000
Zn  0.250  0.250  0.250
Re  0.000  0.000  0.500
Se  0.250  0.250  0.750

The following is a GGA-PBE calculation of crystalline Pa6Ni6Os at its relaxed geometry, from Alexandria.

Calculated values
The formation energy is -219 meV/atom. The calculation puts the density at 13.4 g cm⁻³.

a b c (Å): 5.269 9.146 9.902
angles (deg): 90.00 90.00 90.00
Space group Immm (No. 71)
Asymmetric unit:
Pa  0.000  0.000  0.202
Pa  0.000  0.324  0.500
Pa  0.000  0.340  0.000
Ni  0.000  0.500  0.256
Ni  0.250  0.250  0.250
Os  0.000  0.000  0.500

The following is a GGA-PBE calculation of crystalline ZrAgI2N at its relaxed geometry, from Alexandria.

Calculated values
The calculation puts the density at 5.9 g cm⁻³. As for the energy relative to the lowest polymorph listed for this composition: 1.138 eV per atom. The raw formation energy is 5.2 eV/f.u.

a b c (Å): 5.843 5.843 3.853
angles (deg): 90.00 90.00 90.00
Space group P4/mmm (No. 123)
Asymmetric unit:
Zr  0.000  0.000  0.000
Ag  0.500  0.500  0.500
I  0.000  0.500  0.500
N  0.500  0.500  0.000

The following is a GGA-PBE calculation of crystalline Ag3HgTe3 at its relaxed geometry, from Alexandria.

Calculated values
The calculation puts the density at 6.4 g cm⁻³. As for the energy relative to the lowest polymorph listed for this composition: 0.134 eV per atom. The raw formation energy is 0.9 eV/f.u.

a b c (Å): 7.785 7.785 7.785
angles (deg): 90.00 90.00 90.00
Space group Pm-3n (No. 223)
Asymmetric unit:
Ag  0.000  0.250  0.500
Hg  0.000  0.000  0.000
Te  0.000  0.500  0.250

The following is a GGA-PBE calculation of crystalline CeZnP2Rh5 at its relaxed geometry, from Alexandria.

Calculated values
The formation energy is -622 meV/atom. The calculation puts the density at 8.2 g cm⁻³.

a b c (Å): 4.078 4.078 9.547
angles (deg): 90.00 90.00 90.00
Space group P4/mmm (No. 123)
Asymmetric unit:
Ce  0.000  0.000  0.000
Zn  0.000  0.000  0.500
P  0.500  0.500  0.238
Rh  0.000  0.500  0.339
Rh  0.500  0.500  0.000

The following is a GGA-PBE calculation of crystalline Sc2TiNbPt at its relaxed geometry, from Alexandria.

Calculated values
The formation energy is 339 meV/atom. The calculation puts the density at 6.0 g cm⁻³.

a b c (Å): 4.935 4.935 4.852
angles (deg): 90.00 90.00 90.00
Space group P4/mmm (No. 123)
Asymmetric unit:
Sc  0.000  0.500  0.000
Ti  0.000  0.000  0.500
Nb  0.500  0.500  0.500
Pt  0.000  0.000  0.000

The following is a GGA-PBE calculation of crystalline SnPdI2N at its relaxed geometry, from Alexandria.

Calculated values
The calculation puts the density at 5.8 g cm⁻³. As for the energy relative to the lowest polymorph listed for this composition: 0.329 eV per atom. The raw formation energy is 4.2 eV/f.u.

a b c (Å): 6.016 6.016 3.886
angles (deg): 90.00 90.00 90.00
Space group P4/mmm (No. 123)
Asymmetric unit:
Sn  0.000  0.000  0.000
Pd  0.500  0.500  0.500
I  0.000  0.500  0.000
N  0.000  0.000  0.500